DFT (meta-GGA SCAN) results for a PBEsol-optimized structure of LaSc.

E_form: 0.092 eV/atom
ρ: 5.35 g/cm³
relative energy among the computed polymorphs: 25 meV/atom
raw total energy: -28.579 eV per atom

abc: 3.439 3.439 16.716
angles: 90.00 90.00 120.00
Sites, in units of the cell vectors:
La 0.000 0.000 0.000
La 0.000 0.000 0.328
La 0.333 0.667 0.806
Sc 0.000 0.000 0.641
Sc 0.333 0.667 0.162
Sc 0.333 0.667 0.496